# NaCoH3 (PBE, relaxed)
data_NaCoH3
_space_group_name_H-M_alt 'C m c m'
_space_group_IT_number 63
_space_group_name_Hall '-C 2c 2'
_cell_length_a 2.974
_cell_length_b 12.324
_cell_length_c 5.026
_cell_angle_alpha 90.00
_cell_angle_beta 90.00
_cell_angle_gamma 90.00
loop_
_atom_site_label
_atom_site_fract_x
_atom_site_fract_y
_atom_site_fract_z
Na1 0.000 0.136 0.250
Co1 0.000 0.422 0.250
H1 0.000 0.500 0.000
H2 0.220 0.180 0.750
# raw total energy	-3.48	eV/atom
# DOS(E_F)	0.480	states/eV per atom